No. 1
This record from Alexandria describes crystalline As2PdAu at its relaxed geometry. The functional is GGA-PBE.

a = 6.4102 Å, b = 6.4102 Å, c = 8.5874 Å
α = 90.00°, β = 90.00°, γ = 90.00°
Closest atoms and distances in Å follow each position.
Space group I-42d (No. 122)
Symmetry-distinct sites (fractional):
As  0.2365  0.2500  0.1250 x8  2 Pd 2.45, 2 Au 2.56
Pd  0.0000  0.0000  0.0000 x4  4 As 2.45
Au  0.0000  0.0000  0.5000 x4  4 As 2.56

Calculated values
E_form = 8.5 kJ per mole of atoms
polymorph energy (0 for the lowest one) = 125.0 meV/atom

---

No. 2
This record from Alexandria describes crystalline As2Pd2Au at its relaxed geometry. The functional is GGA-PBE.

a = 3.8339 Å, b = 3.8339 Å, c = 12.4969 Å
α = 90.00°, β = 90.00°, γ = 90.00°
Closest atoms and distances in Å follow each position.
Space group I4/mmm (No. 139)
Symmetry-distinct sites (fractional):
As  0.0000  0.5000  0.2500 x4  4 Pd 2.61, 4 As 2.71
Pd  0.0000  0.0000  0.1085 x4  4 As 2.61, 1 Pd 2.71
Au  0.0000  0.0000  0.5000 x2  8 Pd 3.03

Calculated values
E_form = 4.3 kJ per mole of atoms
polymorph energy (0 for the lowest one) = 160.4 meV/atom

---

No. 3
This record from Alexandria describes crystalline As2PdAu at its relaxed geometry. The functional is GGA-PBE.

a = 6.5573 Å, b = 6.5573 Å, c = 6.5573 Å
α = 90.00°, β = 90.00°, γ = 90.00°
Closest atoms and distances in Å follow each position.
Space group Fm-3m (No. 225)
Symmetry-distinct sites (fractional):
As  0.2500  0.2500  0.2500 x8  4 Pd 2.84, 4 Au 2.84
Pd  0.0000  0.0000  0.0000 x4  8 As 2.84
Au  0.0000  0.0000  0.5000 x4  8 As 2.84

Calculated values
E_form = 2.8 kJ per mole of atoms
polymorph energy (0 for the lowest one) = 66.2 meV/atom

---

No. 4
This record from Alexandria describes crystalline AsPd6Au at its relaxed geometry. The functional is GGA-PBE.

a = 9.1246 Å, b = 4.3049 Å, c = 6.9756 Å
α = 90.00°, β = 112.23°, γ = 90.00°
Closest atoms and distances in Å follow each position.
Space group C2/m (No. 12)
Symmetry-distinct sites (fractional):
As  0.0000  0.0000  0.0000 x2  8 Pd 2.45-2.66
Pd  0.0168  0.5000  0.2254 x4  2 As 2.64, 8 Pd 2.76-2.94, 2 Au 2.92
Pd  0.2202  0.0000  0.8803 x4  1 As 2.45, 2 Pd 2.65, 1 Au 2.65
Pd  0.2483  0.0000  0.3580 x4  1 As 2.66, 1 Au 2.79, 8 Pd 2.80-2.93
Au  0.0000  0.0000  0.5000 x2  8 Pd 2.65-2.92

Calculated values
E_form = -16.6 kJ per mole of atoms

---

No. 5
This record from Alexandria describes crystalline As2PdAu at its relaxed geometry. The functional is GGA-PBE.

a = 3.5814 Å, b = 3.5814 Å, c = 23.3947 Å
α = 90.00°, β = 90.00°, γ = 120.00°
Closest atoms and distances in Å follow each position.
Space group R-3m (No. 166, hexagonal axes)
Symmetry-distinct sites (fractional):
As  0.0000  0.0000  0.1051 x6  1 Au 2.46, 3 Pd 2.52
Pd  0.0000  0.0000  0.5000 x3  6 As 2.52
Au  0.0000  0.0000  0.0000 x3  2 As 2.46

Calculated values
E_form = -3.6 kJ per mole of atoms
polymorph energy (0 for the lowest one) = 0.0 meV/atom

---

No. 6
This record from Alexandria describes crystalline AsPd8Au2 at its relaxed geometry. The functional is GGA-PBE.

a = 14.6831 Å, b = 4.6159 Å, c = 5.8052 Å
α = 90.00°, β = 113.16°, γ = 90.00°
Closest atoms and distances in Å follow each position.
Space group C2/m (No. 12)
Symmetry-distinct sites (fractional):
As  0.0000  0.0000  0.0000 x2  4 Pd 2.38
Pd  0.9998  0.5000  0.2480 x4  2 As 2.72, 8 Pd 2.85-2.96, 2 Au 2.87
Pd  0.1368  0.0000  0.3951 x4  1 As 2.38
Pd  0.1377  0.0000  0.8805 x4  1 As 2.38
Pd  0.1820  0.5000  0.1820 x4  8 Pd 2.81-2.85, 4 Au 2.90-2.94
Au  0.1830  0.5000  0.6824 x4  12 Pd 2.77-2.94

Calculated values
E_form = -12.5 kJ per mole of atoms

---

No. 7
This record from Alexandria describes crystalline As2Pd5Au at its relaxed geometry. The functional is GGA-PBE.

a = 3.2915 Å, b = 7.1264 Å, c = 11.3815 Å
α = 90.00°, β = 90.00°, γ = 90.00°
Closest atoms and distances in Å follow each position.
Space group Immm (No. 71)
Symmetry-distinct sites (fractional):
As  0.0000  0.0000  0.2137 x4  7 Pd 2.43-2.59
Pd  0.0000  0.0000  0.0000 x2  2 As 2.43
Pd  0.0000  0.2477  0.3631 x8  3 As 2.45-2.59
Au  0.0000  0.5000  0.0000 x2  8 Pd 2.87

Calculated values
E_form = -25.7 kJ per mole of atoms

---

No. 8
This record from Alexandria describes crystalline AsPdAu3 at its relaxed geometry. The functional is GGA-PBE.

a = 4.8388 Å, b = 4.8388 Å, c = 4.8388 Å
α = 90.00°, β = 90.00°, γ = 90.00°
Closest atoms and distances in Å follow each position.
Space group Pm-3m (No. 221)
Symmetry-distinct sites (fractional):
As  0.0000  0.0000  0.0000 x1  6 Au 2.42
Pd  0.5000  0.5000  0.5000 x1  12 Au 3.42
Au  0.0000  0.0000  0.5000 x3  2 As 2.42

Calculated values
E_form = 46.9 kJ per mole of atoms
polymorph energy (0 for the lowest one) = 0.0 meV/atom

---

No. 9
This record from Alexandria describes crystalline As2Pd2Au at its relaxed geometry. The functional is GGA-PBE.

a = 7.3751 Å, b = 7.3751 Å, c = 3.1977 Å
α = 90.00°, β = 90.00°, γ = 90.00°
Closest atoms and distances in Å follow each position.
Space group P4/mbm (No. 127)
Symmetry-distinct sites (fractional):
As  0.1572  0.3428  0.0000 x4  6 Pd 2.66-2.71
Pd  0.1386  0.6386  0.5000 x4  6 As 2.66-2.71, 2 Au 2.85, 1 Pd 2.89
Au  0.0000  0.0000  0.5000 x2  4 Pd 2.85

Calculated values
E_form = -11.2 kJ per mole of atoms
polymorph energy (0 for the lowest one) = 0.0 meV/atom

---

No. 10
This record from Alexandria describes crystalline AsPdAu3 at its relaxed geometry. The functional is GGA-PBE.

a = 4.9892 Å, b = 4.9892 Å, c = 4.9892 Å
α = 90.00°, β = 90.00°, γ = 90.00°
Closest atoms and distances in Å follow each position.
Space group Pm-3m (No. 221)
Symmetry-distinct sites (fractional):
As  0.0000  0.0000  0.0000 x1  12 Au 3.53
Pd  0.5000  0.5000  0.5000 x1  6 Au 2.49
Au  0.0000  0.5000  0.5000 x3  2 Pd 2.49

Calculated values
E_form = 93.7 kJ per mole of atoms
polymorph energy (0 for the lowest one) = 484.5 meV/atom

---

No. 11
This record from Alexandria describes crystalline As2Pd8Au at its relaxed geometry. The functional is GGA-PBE.

a = 7.4705 Å, b = 11.1404 Å, c = 4.5307 Å
α = 90.00°, β = 106.52°, γ = 90.00°
Closest atoms and distances in Å follow each position.
Space group C2/m (No. 12)
Symmetry-distinct sites (fractional):
As  0.0000  0.1789  0.0000 x4  8 Pd 2.42-2.60
Pd  0.0000  0.2562  0.5000 x4  2 As 2.42
Pd  0.1166  0.0000  0.3198 x4  2 As 2.47, 1 Pd 2.71, 1 Au 2.75
Pd  0.1964  0.3747  0.0943 x8  2 As 2.50-2.60, 1 Pd 2.79
Au  0.0000  0.5000  0.5000 x2  12 Pd 2.72-3.02

Calculated values
E_form = -23.7 kJ per mole of atoms

---

No. 12
This record from Alexandria describes crystalline As2Pd2Au at its relaxed geometry. The functional is GGA-PBE.

a = 4.6300 Å, b = 4.6300 Å, c = 8.7196 Å
α = 90.00°, β = 90.00°, γ = 90.00°
Closest atoms and distances in Å follow each position.
Space group I4/mmm (No. 139)
Symmetry-distinct sites (fractional):
As  0.0000  0.0000  0.1408 x4  1 As 2.45, 4 Pd 2.50
Pd  0.0000  0.5000  0.2500 x4  4 As 2.50
Au  0.0000  0.0000  0.5000 x2  10 As 3.13-3.50, 8 Pd 3.18

Calculated values
E_form = -2.5 kJ per mole of atoms
polymorph energy (0 for the lowest one) = 89.3 meV/atom